[1]
# CsNiCl3

A geometry-optimized CsNiCl3 structure (GGA-PBEsol, Alexandria).

## Properties
E: -3.81 eV per atom
Formation energy (no corrections): -1189 meV per atom
Symmetry: No. 194

a = 5.830 Å, b = 7.075 Å, c = 7.075 Å
α = 120.00°, β = 90.00°, γ = 90.00°
Atoms (fractional coordinates):
Cs 0.250 0.667 0.333
Cs 0.750 0.333 0.667
Ni 0.000 0.000 0.000
Ni 0.500 0.000 0.000
Cl 0.750 0.305 0.152
Cl 0.250 0.152 0.848
Cl 0.250 0.152 0.305
Cl 0.750 0.848 0.695
Cl 0.250 0.695 0.848
Cl 0.750 0.848 0.152

[2]
# Cs2Ni2Cl

A geometry-optimized Cs2Ni2Cl structure (GGA-PBEsol, Alexandria).

## Properties
E: -3.43 eV per atom
Formation energy (no corrections): -187 meV per atom
Symmetry: No. 139

a = 3.508 Å, b = 3.508 Å, c = 10.616 Å
α = 99.51°, β = 99.51°, γ = 90.00°
Atoms (fractional coordinates):
Cs 0.392 0.392 0.785
Cs 0.608 0.608 0.215
Ni 0.250 0.750 0.500
Ni 0.750 0.250 0.500
Cl 0.000 0.000 0.000

Q: formation energy (no corrections) of number 1 (CsNiCl3)?
A: -1189 meV per atom